1.
A plane-wave DFT calculation with SCAN was carried out for a crystal of La3NiBr3 relaxed with PBEsol.

## Properties
- E_tot: -30.598 eV per atom

```
La3NiBr3
1.0
10.288 -0.029 0.000
-3.915 9.514 0.000
-3.187 -4.743 8.556
La Ni Br
12 4 12
Cartesian
4.611 6.903 2.236 La
1.762 2.582 2.236 La
-1.462 -2.135 6.320 La
1.462 2.135 6.320 La
5.144 -0.014 6.234 La
1.563 5.834 0.000 La
5.144 -0.014 2.322 La
1.642 6.105 4.255 La
4.810 3.652 0.000 La
1.845 -0.915 4.301 La
-1.845 0.915 4.301 La
4.731 3.380 4.255 La
0.000 0.000 6.376 Ni
3.187 4.743 2.180 Ni
3.335 1.201 4.278 Ni
6.953 -1.230 4.278 Ni
3.082 8.481 0.002 Br
-3.501 -1.316 8.553 Br
-3.599 5.860 4.278 Br
3.501 1.316 8.553 Br
3.187 4.743 6.579 Br
6.840 2.514 2.106 Br
-3.444 2.540 6.450 Br
3.291 1.004 0.002 Br
-0.317 3.655 4.278 Br
0.000 0.000 1.977 Br
3.444 -2.540 6.450 Br
-0.467 6.971 2.106 Br
```

2.
A plane-wave DFT calculation with SCAN was carried out for a crystal of ZrTa2Ag relaxed with PBEsol.

## Properties
- DFT formation energy: 0.238 eV per atom

```
ZrTa2Ag
1.0
2.828 0.000 0.000
0.000 2.828 0.000
0.000 0.000 9.095
Zr Ag Ta
1 1 2
Cartesian
1.414 1.414 0.000 Zr
1.414 1.414 4.548 Ag
0.000 0.000 6.712 Ta
0.000 0.000 2.384 Ta
```

3.
A plane-wave DFT calculation with SCAN was carried out for a crystal of Ca2TiO4 relaxed with PBEsol.

## Properties
- E_tot: -11.967 eV per atom

```
Ca2TiO4
1.0
-2.443 0.239 -2.919
2.475 -1.865 -2.224
-2.445 -4.334 4.184
Ti O Ca
1 4 2
Cartesian
0.000 0.000 0.000 Ti
1.237 -0.932 -1.112 O
-1.606 -4.248 -1.495 O
-0.808 -1.712 0.536 O
-1.222 0.119 -1.459 O
-1.720 -3.645 1.142 Ca
-0.693 -2.316 -2.101 Ca
```

4.
A plane-wave DFT calculation with SCAN was carried out for a crystal of MnAl3C relaxed with PBEsol.

## Properties
- DFT formation energy: 1.561 eV per atom

```
MnAl3C
1.0
-2.271 -3.784 -0.555
3.455 -1.753 -2.184
1.639 -1.546 3.834
C Al Mn
1 3 1
Cartesian
1.412 -3.541 0.548 C
0.820 -0.773 1.917 Al
-1.135 -1.892 -0.277 Al
1.727 -0.877 -1.092 Al
0.000 0.000 0.000 Mn
```

5.
A plane-wave DFT calculation with SCAN was carried out for a crystal of YCo9Si4 relaxed with PBEsol.

## Properties
- E_tot: -16.399 eV per atom

```
YCo9Si4
1.0
-2.799 6.621 2.484
-3.461 -3.592 -5.968
-6.788 -3.265 1.055
Co Si Y
18 8 2
Cartesian
-4.849 -2.050 -3.018 Co
-6.346 1.496 2.156 Co
-3.955 5.500 2.519 Co
-8.198 1.814 0.590 Co
-9.233 -0.749 0.219 Co
-5.165 -0.711 -0.906 Co
-4.870 3.231 2.191 Co
-7.883 0.475 -1.522 Co
-3.394 -1.632 0.527 Co
-5.632 -2.144 1.021 Co
-8.547 2.267 2.969 Co
-10.368 1.345 -0.605 Co
-3.240 1.860 1.383 Co
-4.716 0.125 1.349 Co
-3.815 0.513 -2.648 Co
-1.399 3.311 1.242 Co
-2.679 -1.581 -1.824 Co
-1.040 1.090 0.571 Co
-9.974 -0.609 -1.921 Si
-5.822 -3.876 -3.921 Si
-3.074 0.373 -0.507 Si
-3.382 4.209 0.565 Si
-7.226 3.640 1.492 Si
-6.130 -0.040 -2.848 Si
-6.917 -0.195 0.420 Si
-9.665 -4.444 -2.994 Si
-7.521 -2.589 -1.572 Y
-5.526 2.354 -0.857 Y
```

6.
A plane-wave DFT calculation with SCAN was carried out for a crystal of TlSiIr2 relaxed with PBEsol.

## Properties
- E_tot: -55.584 eV per atom

```
TlSiIr2
1.0
3.755 0.000 0.000
0.000 3.755 0.000
-1.877 -1.877 4.463
Ir Tl Si
2 1 1
Cartesian
1.877 0.000 2.232 Ir
0.000 0.000 0.000 Ir
0.000 1.877 2.232 Tl
1.877 1.877 0.000 Si
```

7.
A plane-wave DFT calculation with SCAN was carried out for a crystal of Cs2Os2Pt relaxed with PBEsol.

## Properties
- DFT formation energy: 0.936 eV per atom

```
Cs2Os2Pt
1.0
3.460 0.000 0.000
0.000 3.460 0.000
-1.730 -1.730 11.454
Cs Pt Os
2 1 2
Cartesian
1.730 1.730 2.356 Cs
0.000 0.000 9.098 Cs
0.000 0.000 0.000 Pt
0.000 1.730 5.727 Os
1.730 0.000 5.727 Os
```

8.
A plane-wave DFT calculation with SCAN was carried out for a crystal of HfP3W relaxed with PBEsol.

## Properties
- DFT formation energy: 1.322 eV per atom

```
HfP3W
1.0
-1.808 -3.506 2.739
4.255 -0.499 2.170
-1.300 3.244 3.294
P W Hf
3 1 1
Cartesian
-0.904 -1.753 1.370 P
-0.650 1.622 1.647 P
2.128 -0.250 1.085 P
0.574 -0.381 4.102 W
0.000 0.000 0.000 Hf
```

no.,total moment (μB per formula unit)
1,0.00
2,0.00
3,0.00
4,2.41
5,7.48
6,0.00
7,0.00
8,3.00